A plane-wave DFT calculation with PBE was carried out for Nd8P3PtBr4 after structural relaxation.

abc: 8.7522 8.7522 8.7522
angles: 57.40 57.40 57.40
Element x y z (fractional)
Nd 0.2348 0.2348 0.2348
Nd 0.2353 0.7358 0.7358
Nd 0.2642 0.2642 0.7647
Nd 0.2642 0.7647 0.2642
Nd 0.7358 0.2353 0.7358
Nd 0.7358 0.7358 0.2353
Nd 0.7647 0.2642 0.2642
Nd 0.7652 0.7652 0.7652
P 0.0000 0.0000 0.5000
P 0.0000 0.5000 0.0000
P 0.5000 0.0000 0.0000
Pt 0.5000 0.5000 0.5000
Br 0.0000 0.0000 0.0000
Br 0.0000 0.5000 0.5000
Br 0.5000 0.0000 0.5000
Br 0.5000 0.5000 0.0000

SG: R-3m
E_form (uncorrected): -1.40 eV/atom
E_tot: -89.47 eV per cell